A plane-wave DFT calculation with PBE was carried out for crystalline CsYCd2Ni at its relaxed geometry.

Cell: 5.1913 5.1913 5.4481 Å, 90.00 90.00 90.00°
Atoms (fractional coordinates):
1 Cs 0.0000 0.0000 0.0000
2 Y 0.5000 0.5000 0.0000
3 Cd 0.0000 0.5000 0.5000
4 Cd 0.5000 0.0000 0.5000
5 Ni 0.0000 0.0000 0.5000

Results
The calculation puts the energy at -2.4307 eV per atom. As for the total magnetization: 0.00 μB/f.u. As for the energy of formation: 555 meV per atom.

---

A plane-wave DFT calculation with PBE was carried out for crystalline CsZr2CdNi at its relaxed geometry.

Cell: 5.0579 5.0579 5.2556 Å, 90.00 90.00 90.00°
Atoms (fractional coordinates):
1 Cs 0.0000 0.0000 0.0000
2 Zr 0.0000 0.5000 0.5000
3 Zr 0.5000 0.0000 0.5000
4 Cd 0.5000 0.5000 0.0000
5 Ni 0.5000 0.5000 0.5000

Results
The calculation puts the energy at -4.3094 eV per atom. As for the total magnetization: 0.00 μB/f.u. As for the energy of formation: 620 meV per atom.

---

A plane-wave DFT calculation with PBE was carried out for crystalline Cs2NpCd2O6 at its relaxed geometry.

Cell: 5.8927 5.8927 7.4182 Å, 99.93 99.93 117.51°
Atoms (fractional coordinates):
1 Cs 0.1745 0.8255 0.0000
2 Cs 0.8255 0.1745 0.0000
3 Np 0.0000 0.0000 0.5000
4 Cd 0.3360 0.6640 0.5000
5 Cd 0.6640 0.3360 0.5000
6 O 0.0507 0.3507 0.6705
7 O 0.2378 0.2378 0.3408
8 O 0.3507 0.0507 0.6705
9 O 0.6493 0.9493 0.3295
10 O 0.7622 0.7622 0.6592
11 O 0.9493 0.6493 0.3295

Results
Its uncorrected formation energy is -1.8133 eV per atom. The calculation puts the energy at -6.0158 eV per atom. As for the total magnetization: 1.00 μB/f.u.

---

- energy of number 3 (Cs2NpCd2O6)?
  -6.0158 eV per atom

---

- What is the formula in the second record?
  CsZr2CdNi